Pr2MnNiO6 | Alexandria via LeMat-Bulk | PBE+U | relaxed; calculated volume = 11.913 A^3/atom; crystal system = monoclinic; total DFT energy (no corrections) = -146.448 eV per cell
1.0
-0.950 5.161 1.877
-3.183 0.999 -4.359
-9.383 -1.578 -0.413
Pr Mn O Ni
4 2 12 2
Cartesian
-10.368 4.498 -1.832 Pr
-5.289 3.183 -2.391 Pr
-3.149 0.084 -1.062 Pr
-8.228 1.399 -0.503 Pr
-5.167 1.792 0.732 Mn
0.000 0.000 0.000 Mn
-1.908 4.275 0.440 O
-6.514 3.020 0.064 O
-5.822 0.435 -0.508 O
-5.363 5.362 -1.211 O
-12.329 3.045 -2.707 O
-9.614 2.181 -2.288 O
-7.695 4.148 -2.387 O
-1.188 1.537 -0.187 O
-7.003 1.563 -2.958 O
-8.154 -0.780 -1.683 O
-11.609 0.308 -3.334 O
-3.903 2.401 -0.607 O
-2.067 3.080 -1.241 Ni
-6.283 -0.290 -2.386 Ni